Material: Pu3As2
Method: DFT, PBE
State: relaxed

Cell lengths 11.801, 3.590, 9.841 Å; angles 90.00, 90.00, 90.00 degrees
Space group Pnma (No. 62)
Unique sites:
1 Pu 0.031 0.250 0.070 x4
2 Pu 0.127 0.750 0.582 x4
3 Pu 0.199 0.250 0.740 x4
4 As 0.050 0.750 0.302 x4
5 As 0.207 0.750 0.966 x4

Values from the calculation:
- N(E_F) (states/eV per cell) = 45.279
- uncorrected energy (eV per cell) = -220.647
- formation energy (eV/atom) = -0.5734
- theoretical density (kg/m3) = 14048

=====

Material: LiTa2Cr
Method: DFT, PBE
State: relaxed

Cell lengths 6.216, 6.216, 6.216 Å; angles 90.00, 90.00, 90.00 degrees
Space group Fm-3m (No. 225)
Unique sites:
1 Li 0.000 0.000 0.000 x4
2 Ta 0.250 0.250 0.250 x8
3 Cr 0.000 0.000 0.500 x4

Values from the calculation:
- N(E_F) (states/eV per cell) = 11.042
- uncorrected energy (eV per cell) = -137.052
- formation energy (eV/atom) = 0.2449
- theoretical density (kg/m3) = 11640

=====

Material: K2TcIr
Method: DFT, PBE
State: relaxed

Cell lengths 5.555, 11.561, 2.802 Å; angles 90.00, 116.97, 90.00 degrees
Space group C2/m (No. 12)
Unique sites:
1 K 0.250 0.250 0.000 x4
2 Tc 0.000 0.000 0.500 x2
3 Ir 0.000 0.500 0.500 x2

Values from the calculation:
- N(E_F) (states/eV per cell) = 6.546
- uncorrected energy (eV per cell) = -33.949
- formation energy (eV/atom) = 1.1119
- theoretical density (kg/m3) = 7629

=====

Material: CeY2Tc2
Method: DFT, PBE
State: relaxed

Cell lengths 4.245, 5.691, 9.572 Å; angles 90.00, 90.00, 90.00 degrees
Space group Immm (No. 71)
Unique sites:
1 Ce 0.000 0.000 0.000 x2
2 Y 0.000 0.500 0.198 x4
3 Tc 0.000 0.234 0.500 x4

Values from the calculation:
- N(E_F) (states/eV per cell) = 12.210
- uncorrected energy (eV per cell) = -80.683
- formation energy (eV/atom) = -0.1495
- theoretical density (kg/m3) = 7380

=====

Material: NdScCd6
Method: DFT, PBE
State: relaxed

Cell lengths 4.866, 7.175, 10.820 Å; angles 90.00, 90.00, 90.00 degrees
Space group Amm2 (No. 38)
Unique sites:
1 Nd 0.000 0.000 0.000 x2
2 Sc 0.500 0.000 0.731 x2
3 Cd 0.000 0.000 0.548 x2
4 Cd 0.000 0.221 0.269 x4
5 Cd 0.500 0.000 0.196 x2
6 Cd 0.500 0.213 0.460 x4

Values from the calculation:
- N(E_F) (states/eV per cell) = 7.745
- uncorrected energy (eV per cell) = -37.040
- formation energy (eV/atom) = -0.2413
- theoretical density (kg/m3) = 7593

=====

Material: BaOsW2
Method: DFT, PBE
State: relaxed

Cell lengths 7.823, 7.823, 6.165 Å; angles 90.00, 90.00, 90.00 degrees
Space group I-42d (No. 122)
Unique sites:
1 Ba 0.000 0.000 0.000 x4
2 Os 0.000 0.000 0.500 x4
3 W 0.174 0.250 0.625 x8

Values from the calculation:
- N(E_F) (states/eV per cell) = 17.150
- uncorrected energy (eV per cell) = -132.457
- formation energy (eV/atom) = 1.4861
- theoretical density (kg/m3) = 12238

=====

Material: AlIn2Mo
Method: DFT, PBE
State: relaxed

Cell lengths 7.779, 7.779, 5.571 Å; angles 90.00, 90.00, 90.00 degrees
Space group I-42d (No. 122)
Unique sites:
1 Al 0.000 0.000 0.000 x4
2 In 0.249 0.250 0.625 x8
3 Mo 0.000 0.000 0.500 x4

Values from the calculation:
- N(E_F) (states/eV per cell) = 15.169
- uncorrected energy (eV per cell) = -69.458
- formation energy (eV/atom) = 0.6715
- theoretical density (kg/m3) = 6946

=====

Material: CoIr3
Method: DFT, PBE
State: relaxed

Cell lengths 8.6055, 8.6055, 2.6939 Å; angles 90.00, 90.00, 120.00 degrees
Space group R-3m (No. 166, hexagonal axes)
Unique sites:
1 Co 0.0000 0.0000 0.0000 x3
2 Ir 0.0000 0.5000 0.0000 x9

Values from the calculation:
- N(E_F) (states/eV per cell) = 19.384
- uncorrected energy (eV per cell) = -95.201
- formation energy (eV/atom) = 0.4888
- theoretical density (kg/m3) = 18326

=====

Material: MgSbIr2Pd
Method: DFT, PBE
State: relaxed

Cell lengths 4.937, 4.937, 4.799 Å; angles 90.00, 90.00, 90.00 degrees
Space group P4/mmm (No. 123)
Unique sites:
1 Mg 0.000 0.000 0.000 x1
2 Sb 0.500 0.500 0.000 x1
3 Ir 0.000 0.500 0.500 x2
4 Pd 0.500 0.500 0.500 x1

Values from the calculation:
- N(E_F) (states/eV per cell) = 6.898
- uncorrected formation energy (eV/f.u.) = 6.15
- uncorrected energy (eV per cell) = -22.480
- theoretical density (kg/m3) = 9043

=====

Material: LaSmCo
Method: DFT, PBE
State: relaxed

Cell lengths 5.265, 5.681, 6.626 Å; angles 111.22, 113.27, 90.07 degrees
Space group P-1 (No. 2)
Unique sites:
1 La 0.131 0.403 0.260 x2
2 Sm 0.373 0.082 0.746 x2
3 Co 0.396 0.589 0.794 x2

Values from the calculation:
- N(E_F) (states/eV per cell) = 5.742
- uncorrected energy (eV per cell) = -33.904
- formation energy (eV/atom) = -0.0664
- theoretical density (kg/m3) = 6912

=====

Material: Sb2TeWC
Method: DFT, PBE
State: relaxed

Cell lengths 4.634, 4.634, 4.643 Å; angles 90.00, 90.00, 90.00 degrees
Space group P4/mmm (No. 123)
Unique sites:
1 Sb 0.000 0.500 0.000 x2
2 Te 0.000 0.000 0.500 x1
3 W 0.500 0.500 0.500 x1
4 C 0.000 0.000 0.000 x1

Values from the calculation:
- N(E_F) (states/eV per cell) = 2.676
- uncorrected formation energy (eV/f.u.) = 7.35
- uncorrected energy (eV per cell) = -26.218
- theoretical density (kg/m3) = 9442

=====

Material: Sr2YZr
Method: DFT, PBE
State: relaxed

Cell lengths 3.738, 6.415, 12.510 Å; angles 90.00, 90.00, 90.00 degrees
Space group Imm2 (No. 44)
Unique sites:
1 Sr 0.000 0.000 0.000 x2
2 Sr 0.000 0.500 0.218 x2
3 Y 0.000 0.500 0.773 x2
4 Zr 0.000 0.000 0.475 x2

Values from the calculation:
- N(E_F) (states/eV per cell) = 10.444
- uncorrected energy (eV per cell) = -33.274
- formation energy (eV/atom) = 0.4347
- theoretical density (kg/m3) = 3934

=====

Material: Zn2RhF8
Method: DFT, PBE
State: relaxed

Cell lengths 9.286, 6.921, 4.304 Å; angles 90.00, 90.02, 90.00 degrees
Space group C2/m (No. 12)
Unique sites:
1 Zn 0.121 0.000 0.257 x4
2 Rh 0.000 0.500 0.500 x2
3 F 0.096 0.000 0.758 x4
4 F 0.104 0.299 0.274 x8
5 F 0.167 0.500 0.779 x4

Values from the calculation:
- N(E_F) (states/eV per cell) = 18.155
- uncorrected formation energy (eV/f.u.) = -20.61
- uncorrected energy (eV per cell) = -90.968
- theoretical density (kg/m3) = 4631

=====

Material: Cr2CdTc
Method: DFT, PBE
State: relaxed

Cell lengths 2.961, 2.961, 6.888 Å; angles 90.00, 90.00, 90.00 degrees
Space group P4mm (No. 99)
Unique sites:
1 Cr 0.000 0.000 0.000 x1
2 Cr 0.500 0.500 0.203 x1
3 Cd 0.500 0.500 0.711 x1
4 Tc 0.000 0.000 0.410 x1

Values from the calculation:
- N(E_F) (states/eV per cell) = 2.640
- uncorrected energy (eV per cell) = -29.392
- formation energy (eV/atom) = 0.2838
- theoretical density (kg/m3) = 8645

=====

Material: YP
Method: DFT, PBE
State: relaxed

Cell lengths 4.019, 12.736, 7.538 Å; angles 90.00, 90.00, 90.00 degrees
Space group Amm2 (No. 38)
Unique sites:
1 Y 0.000 0.000 0.000 x2
2 Y 0.500 0.215 0.779 x4
3 P 0.000 0.217 0.045 x4
4 P 0.500 0.000 0.767 x2

Values from the calculation:
- uncorrected energy (eV per cell) = -84.742
- formation energy (eV/atom) = -1.1249
- theoretical density (kg/m3) = 3096

=====

Material: Pb4Br
Method: DFT, PBE
State: relaxed

Cell lengths 8.151, 8.151, 4.723 Å; angles 90.00, 90.00, 90.00 degrees
Space group I4/m (No. 87)
Unique sites:
1 Pb 0.086 0.304 0.000 x8
2 Br 0.000 0.000 0.500 x2

Values from the calculation:
- N(E_F) (states/eV per cell) = 5.749
- uncorrected formation energy (eV/f.u.) = -0.39
- uncorrected energy (eV per cell) = -33.789
- theoretical density (kg/m3) = 9616

=====

Material: HfTiBeRe
Method: DFT, PBE
State: relaxed

Cell lengths 6.315, 6.315, 6.315 Å; angles 90.00, 90.00, 90.00 degrees
Space group F-43m (No. 216)
Unique sites:
1 Hf 0.000 0.000 0.000 x4
2 Ti 0.000 0.000 0.500 x4
3 Be 0.250 0.250 0.750 x4
4 Re 0.250 0.250 0.250 x4

Values from the calculation:
- N(E_F) (states/eV per cell) = 11.677
- uncorrected energy (eV per cell) = -139.349
- formation energy (eV/atom) = -0.2036
- theoretical density (kg/m3) = 11121

=====

Material: Pm2Pr4DyEr
Method: DFT, PBE
State: relaxed

Cell lengths 5.168, 5.200, 10.231 Å; angles 90.00, 90.08, 90.00 degrees
Space group P2/m (No. 10)
Unique sites:
1 Pm 0.000 0.000 0.000 x1
2 Pm 0.500 0.500 0.500 x1
3 Pr 0.000 0.500 0.250 x2
4 Pr 0.499 0.000 0.749 x2
5 Dy 0.500 0.500 0.000 x1
6 Er 0.000 0.000 0.500 x1

Values from the calculation:
- N(E_F) (states/eV per cell) = 10.942
- uncorrected energy (eV per cell) = -37.671
- formation energy (eV/atom) = 0.0142
- theoretical density (kg/m3) = 7147

=====

Material: NbV4Sn
Method: DFT, PBE
State: relaxed

Cell lengths 7.188, 7.188, 7.188 Å; angles 90.00, 90.00, 90.00 degrees
Space group F-43m (No. 216)
Unique sites:
1 Nb 0.000 0.000 0.000 x4
2 V 0.127 0.127 0.627 x16
3 Sn 0.250 0.250 0.250 x4

Values from the calculation:
- N(E_F) (states/eV per cell) = 41.188
- uncorrected energy (eV per cell) = -202.413
- formation energy (eV/atom) = -0.0094
- theoretical density (kg/m3) = 7429

=====

Material: LaGa2Rh
Method: DFT, PBE
State: relaxed

Cell lengths 4.2738, 4.2738, 16.1119 Å; angles 90.00, 90.00, 120.00 degrees
Space group R-3m (No. 166, hexagonal axes)
Unique sites:
1 La 0.0000 0.0000 0.0000 x3
2 Ga 0.0000 0.0000 0.2108 x6
3 Rh 0.0000 0.0000 0.5000 x3

Values from the calculation:
- N(E_F) (states/eV per cell) = 13.011
- uncorrected energy (eV per cell) = -63.538
- formation energy (eV/atom) = -0.7117
- theoretical density (kg/m3) = 7452

=====

Material: Ac2GePd4Pt2
Method: DFT, PBE
State: relaxed

Cell lengths 6.390, 6.390, 9.057 Å; angles 90.00, 90.00, 90.00 degrees
Space group I4/mmm (No. 139)
Unique sites:
1 Ac 0.000 0.500 0.250 x4
2 Ge 0.000 0.000 0.000 x2
3 Pd 0.222 0.222 0.500 x8
4 Pt 0.000 0.000 0.272 x4

Values from the calculation:
- N(E_F) (states/eV per cell) = 8.038
- uncorrected energy (eV per cell) = -106.428
- formation energy (eV/atom) = -0.8363
- theoretical density (kg/m3) = 12054

=====

Material: PaVCrSi2
Method: DFT, PBE
State: relaxed

Cell lengths 3.905, 3.905, 10.743 Å; angles 90.00, 90.00, 90.00 degrees
Space group I-4m2 (No. 119)
Unique sites:
1 Pa 0.000 0.000 0.000 x2
2 V 0.000 0.500 0.750 x2
3 Cr 0.000 0.500 0.250 x2
4 Si 0.000 0.000 0.389 x4

Values from the calculation:
- N(E_F) (states/eV per cell) = 9.614
- uncorrected formation energy (eV/f.u.) = -2.28
- uncorrected energy (eV per cell) = -82.730
- theoretical density (kg/m3) = 7908

=====

Material: BaCa2SmTl4
Method: DFT, PBE
State: relaxed

Cell lengths 5.6197, 5.6197, 27.9264 Å; angles 90.00, 90.00, 120.00 degrees
Space group R-3m (No. 166, hexagonal axes)
Unique sites:
1 Ba 0.0000 0.0000 0.0000 x3
2 Ca 0.0000 0.0000 0.2484 x6
3 Sm 0.0000 0.0000 0.5000 x3
4 Tl 0.0000 0.0000 0.1281 x6
5 Tl 0.0000 0.0000 0.3830 x6

Values from the calculation:
- N(E_F) (states/eV per cell) = 16.204
- uncorrected energy (eV per cell) = -69.749
- formation energy (eV/atom) = -0.3924
- theoretical density (kg/m3) = 7731

=====

Material: TlSb2Cl
Method: DFT, PBE
State: relaxed

Cell lengths 3.779, 3.779, 8.997 Å; angles 90.00, 90.00, 90.00 degrees
Space group P4mm (No. 99)
Unique sites:
1 Tl 0.000 0.000 0.000 x1
2 Sb 0.000 0.000 0.489 x1
3 Sb 0.500 0.500 0.654 x1
4 Cl 0.500 0.500 0.163 x1

Values from the calculation:
- N(E_F) (states/eV per cell) = 0.860
- uncorrected formation energy (eV/f.u.) = -1.18
- uncorrected energy (eV per cell) = -13.636
- theoretical density (kg/m3) = 6247

=====

Material: Pm2NdS
Method: DFT, PBE
State: relaxed

Cell lengths 3.8639, 3.8639, 28.5614 Å; angles 90.00, 90.00, 120.00 degrees
Space group R3m (No. 160, hexagonal axes)
Unique sites:
1 Pm 0.0000 0.0000 0.0000 x3
2 Pm 0.0000 0.0000 0.2133 x3
3 Nd 0.0000 0.0000 0.7733 x3
4 S 0.0000 0.0000 0.6064 x3

Values from the calculation:
- N(E_F) (states/eV per cell) = 11.740
- uncorrected formation energy (eV/f.u.) = -3.70
- uncorrected energy (eV per cell) = -66.299
- theoretical density (kg/m3) = 6290

=====

Material: LaCd2Sb
Method: DFT, PBE
State: relaxed

Cell lengths 4.517, 4.517, 10.953 Å; angles 90.00, 90.00, 90.00 degrees
Space group I4/mmm (No. 139)
Unique sites:
1 La 0.000 0.000 0.000 x2
2 Cd 0.000 0.500 0.250 x4
3 Sb 0.000 0.000 0.500 x2

Values from the calculation:
- N(E_F) (states/eV per cell) = 3.749
- uncorrected formation energy (eV/f.u.) = -1.90
- uncorrected energy (eV per cell) = -25.553
- theoretical density (kg/m3) = 7214

=====

Material: Li2HgP
Method: DFT, PBE
State: relaxed

Cell lengths 3.500, 3.500, 5.627 Å; angles 90.00, 90.00, 90.00 degrees
Space group P4mm (No. 99)
Unique sites:
1 Li 0.000 0.000 0.000 x1
2 Li 0.500 0.500 0.286 x1
3 Hg 0.500 0.500 0.784 x1
4 P 0.000 0.000 0.465 x1

Values from the calculation:
- N(E_F) (states/eV per cell) = 2.224
- uncorrected energy (eV per cell) = -10.386
- formation energy (eV/atom) = -0.2118
- theoretical density (kg/m3) = 5912